! GGA-PBE HoTaCoOs, optimized geometry; values from VASP
&SYSTEM
  ibrav = 0, nat = 4, ntyp = 4
/
ATOMIC_SPECIES
Ho 164.93 Ho.upf
Ta 180.95 Ta.upf
Co 58.93 Co.upf
Os 190.23 Os.upf
ATOMIC_POSITIONS crystal
Ho 0.000 0.000 0.000
Ta 0.500 0.500 0.500
Co 0.750 0.750 0.750
Os 0.250 0.250 0.250
CELL_PARAMETERS angstrom
0.000 3.240 3.240
3.240 0.000 3.240
3.240 3.240 0.000
! Size of the total moment: 0.95 Bohr magnetons per cell
! ΔE_f: -0.149 eV per atom
! Calculated density: 14.5 g/cm³